Arrangement one

Compound: MnAg2Rh2
Source: Alexandria via LeMat-Bulk
Functional: PBE
Structure: optimized geometry

a b c (Å): 6.3198 6.3198 4.2583
angles (deg): 90.00 90.00 90.00
Last column: nearest neighbours and their distance in Å.
Positions (direct):
Mn: 0.0000 0.0000 0.0000  4 Rh 2.45
Mn: 0.5000 0.5000 0.0000  4 Rh 2.45
Ag: 0.1660 0.3340 0.5000  6 Rh 2.75-2.88, 1 Ag 2.97
Ag: 0.3340 0.8340 0.5000  6 Rh 2.75-2.88, 1 Ag 2.97
Ag: 0.6660 0.1660 0.5000  6 Rh 2.75-2.88, 1 Ag 2.97
Ag: 0.8340 0.6660 0.5000  6 Rh 2.75-2.88, 1 Ag 2.97
Rh: 0.1386 0.6386 0.0000  2 Mn 2.45, 1 Rh 2.48
Rh: 0.3614 0.1386 0.0000  2 Mn 2.45, 1 Rh 2.48
Rh: 0.6386 0.8614 0.0000  2 Mn 2.45, 1 Rh 2.48
Rh: 0.8614 0.3614 0.0000  2 Mn 2.45, 1 Rh 2.48

Properties
Space-group type ... P4/mbm, No. 127

=====

Arrangement two

Compound: MnAg2Rh2
Source: Alexandria via LeMat-Bulk
Functional: PBE
Structure: optimized geometry

a b c (Å): 7.2279 7.2279 7.2279
angles (deg): 151.56 151.56 40.66
Last column: nearest neighbours and their distance in Å.
Positions (direct):
Mn: 0.0000 0.0000 0.0000  8 Rh 2.80
Ag: 0.2500 0.7500 0.5000  4 Ag 2.51, 4 Rh 2.80
Ag: 0.7500 0.2500 0.5000  4 Ag 2.51, 4 Rh 2.80
Rh: 0.4093 0.4093 0.0000  1 Rh 2.46
Rh: 0.5907 0.5907 0.0000  1 Rh 2.46

Properties
Space-group type ... I4/mmm, No. 139

=====

The relative energies come out as arrangement one 0.0; arrangement two 53.8, with values in kJ/mol of atoms.

=====

Arrangement one

Compound: MnAg2Ru
Source: Alexandria via LeMat-Bulk
Functional: PBE
Structure: optimized geometry

a b c (Å): 5.4205 5.4205 5.4205
angles (deg): 148.78 127.97 61.94
Last column: nearest neighbours and their distance in Å.
Positions (direct):
Mn: 0.0000 0.0000 0.0000  2 Ru 2.47
Ag: 0.2530 0.7530 0.5000  2 Mn 2.77, 4 Ru 2.81, 4 Ag 2.87-2.92
Ag: 0.5193 0.5193 0.0000  4 Mn 2.80, 4 Ag 2.87-2.92, 2 Ru 2.88
Ru: 0.7859 0.2859 0.5000  2 Mn 2.47

Properties
Space-group type ... Imm2, No. 44

=====

Arrangement two

Compound: MnAg2Ru
Source: Alexandria via LeMat-Bulk
Functional: PBE
Structure: optimized geometry

a b c (Å): 5.5157 5.5157 5.5157
angles (deg): 149.42 130.96 58.91
Last column: nearest neighbours and their distance in Å.
Positions (direct):
Mn: 0.0000 0.0000 0.0000  4 Ru 2.71, 4 Ag 2.77, 2 Mn 2.91
Ag: 0.2455 0.7455 0.5000  6 Ag 2.71-2.91, 2 Mn 2.77, 2 Ru 2.84
Ag: 0.7545 0.2545 0.5000  6 Ag 2.71-2.91, 2 Mn 2.77, 2 Ru 2.84
Ru: 0.5000 0.5000 0.0000  4 Mn 2.71, 4 Ag 2.84, 2 Ru 2.91

Properties
Space-group type ... Immm, No. 71

=====

Arrangement three

Compound: MnAg2Ru
Source: Alexandria via LeMat-Bulk
Functional: PBE
Structure: optimized geometry

a b c (Å): 2.7456 2.7456 9.6562
angles (deg): 90.00 90.00 117.14
Last column: nearest neighbours and their distance in Å.
Positions (direct):
Mn: 0.0000 0.0000 0.0000  6 Mn 2.75-2.86, 4 Ag 2.77
Ag: 0.5000 0.5000 0.2460  6 Ag 2.75-2.86, 2 Mn 2.77, 2 Ru 2.84
Ag: 0.5000 0.5000 0.7540  6 Ag 2.75-2.86, 2 Mn 2.77, 2 Ru 2.84
Ru: 0.0000 0.0000 0.5000  6 Ru 2.75-2.86, 4 Ag 2.84

Properties
Space-group type ... Cmmm, No. 65

=====

The relative energies come out as arrangement one 0.9; arrangement two 0.0; arrangement three 10.5, with values in kJ/mol of atoms.

=====

Arrangement one

Compound: MnAg2Ru
Source: Alexandria via LeMat-Bulk
Functional: PBE
Structure: optimized geometry

a b c (Å): 3.8560 3.8560 4.2782
angles (deg): 90.00 90.00 90.00
Last column: nearest neighbours and their distance in Å.
Positions (direct):
Mn: 0.0000 0.0000 0.0000  4 Ru 2.73, 8 Ag 2.88
Ag: 0.0000 0.5000 0.5000  4 Ag 2.73, 4 Mn 2.88, 4 Ru 2.88
Ag: 0.5000 0.0000 0.5000  4 Ag 2.73, 4 Mn 2.88, 4 Ru 2.88
Ru: 0.5000 0.5000 0.0000  4 Mn 2.73, 8 Ag 2.88

Properties
Space-group type ... P4/mmm, No. 123

=====

Arrangement two

Compound: MnAg2Ru
Source: Alexandria via LeMat-Bulk
Functional: PBE
Structure: optimized geometry

a b c (Å): 2.8328 2.8328 7.8640
angles (deg): 90.00 90.00 90.00
Last column: nearest neighbours and their distance in Å.
Positions (direct):
Mn: 0.0000 0.0000 0.0000  4 Ru 2.50
Ag: 0.0000 0.0000 0.4631  8 Ag 2.83-2.96, 4 Ru 2.93
Ag: 0.5000 0.5000 0.7404  8 Ag 2.83-2.96, 4 Mn 2.86
Ru: 0.5000 0.5000 0.1907  4 Mn 2.50

Properties
Space-group type ... P4mm, No. 99

=====

The relative energies come out as arrangement one 18.2; arrangement two 0.0, with values in kJ/mol of atoms.

=====

Arrangement one

Compound: MnAg2Ru
Source: Alexandria via LeMat-Bulk
Functional: PBE
Structure: optimized geometry

a b c (Å): 4.7635 2.8013 4.9864
angles (deg): 90.00 107.17 90.00
Last column: nearest neighbours and their distance in Å.
Positions (direct):
Mn: 0.0000 0.0000 0.0000  4 Ru 2.76, 2 Mn 2.80, 6 Ag 2.86-2.90
Ag: 0.0000 0.5000 0.5000  6 Ag 2.76-2.80, 4 Mn 2.86, 2 Ru 2.90
Ag: 0.5000 0.0000 0.5000  6 Ag 2.76-2.80, 4 Ru 2.86, 2 Mn 2.90
Ru: 0.5000 0.5000 0.0000  4 Mn 2.76, 2 Ru 2.80, 6 Ag 2.86-2.90

Properties
Space-group type ... P2/m, No. 10

=====

Arrangement two

Compound: MnAg2Ru
Source: Alexandria via LeMat-Bulk
Functional: PBE
Structure: optimized geometry

a b c (Å): 3.1285 4.3993 4.6399
angles (deg): 90.00 90.00 90.00
Last column: nearest neighbours and their distance in Å.
Positions (direct):
Mn: 0.0000 0.0000 0.0000  4 Ru 2.70, 4 Ag 2.80
Ag: 0.0000 0.5000 0.5000  4 Ag 2.70, 4 Ru 2.80
Ag: 0.5000 0.0000 0.5000  4 Ag 2.70, 4 Mn 2.80
Ru: 0.5000 0.5000 0.0000  4 Mn 2.70, 4 Ag 2.80

Properties
Space-group type ... Pmmm, No. 47

=====

The relative energies come out as arrangement one 0.0; arrangement two 2.7, with values in kJ/mol of atoms.

=====

Arrangement one

Compound: MnAgRu2
Source: Alexandria via LeMat-Bulk
Functional: PBE
Structure: optimized geometry

a b c (Å): 5.3956 5.3956 5.3956
angles (deg): 149.79 130.77 58.85
Last column: nearest neighbours and their distance in Å.
Positions (direct):
Mn: 0.0000 0.0000 0.0000  4 Ru 2.50, 4 Ag 2.65
Ag: 0.5000 0.5000 0.0000  4 Mn 2.65, 2 Ag 2.81
Ru: 0.2205 0.7205 0.5000  2 Mn 2.50, 4 Ru 2.71
Ru: 0.7795 0.2795 0.5000  2 Mn 2.50, 4 Ru 2.71

Properties
Space-group type ... Immm, No. 71

=====

Arrangement two

Compound: MnAgRu2
Source: Alexandria via LeMat-Bulk
Functional: PBE
Structure: optimized geometry

a b c (Å): 5.5317 5.5317 5.5317
angles (deg): 102.90 102.90 123.61
Last column: nearest neighbours and their distance in Å.
Positions (direct):
Mn: 0.0000 0.0000 0.0000  4 Ru 2.26
Mn: 0.7500 0.2500 0.5000  4 Ru 2.26
Ag: 0.2500 0.7500 0.5000  2 Mn 2.61, 8 Ru 2.82-2.92
Ag: 0.5000 0.5000 0.0000  2 Mn 2.61, 8 Ru 2.82-2.92
Ru: 0.0653 0.6250 0.9403  2 Mn 2.26
Ru: 0.3750 0.3153 0.4403  2 Mn 2.26
Ru: 0.6847 0.1250 0.0597  2 Mn 2.26
Ru: 0.8750 0.9347 0.5597  2 Mn 2.26

Properties
Space-group type ... I-42d, No. 122

=====

The relative energies come out as arrangement one 0.0; arrangement two 31.6, with values in kJ/mol of atoms.

=====

Arrangement one

Compound: MnAgRu2
Source: Alexandria via LeMat-Bulk
Functional: PBE
Structure: optimized geometry

a b c (Å): 4.4015 4.4015 4.4015
angles (deg): 60.00 60.00 60.00
Last column: nearest neighbours and their distance in Å.
Positions (direct):
Mn: 0.0000 0.0000 0.0000  4 Ag 2.70, 4 Ru 2.70
Ag: 0.7500 0.7500 0.7500  4 Mn 2.70, 4 Ru 2.70
Ru: 0.2500 0.2500 0.2500  4 Mn 2.70, 4 Ru 2.70
Ru: 0.5000 0.5000 0.5000  4 Ag 2.70, 4 Ru 2.70

Properties
Space-group type ... F-43m, No. 216

=====

Arrangement two

Compound: MnAgRu2
Source: Alexandria via LeMat-Bulk
Functional: PBE
Structure: optimized geometry

a b c (Å): 2.8726 2.8726 7.0925
angles (deg): 90.00 90.00 90.00
Last column: nearest neighbours and their distance in Å.
Positions (direct):
Mn: 0.0000 0.0000 0.0000  8 Ru 2.52
Ag: 0.0000 0.0000 0.5000  4 Ag 2.87, 8 Ru 2.89
Ru: 0.5000 0.5000 0.2097  4 Mn 2.52
Ru: 0.5000 0.5000 0.7903  4 Mn 2.52

Properties
Space-group type ... P4/mmm, No. 123

=====

Arrangement three

Compound: MnAgRu2
Source: Alexandria via LeMat-Bulk
Functional: PBE
Structure: optimized geometry

a b c (Å): 3.8375 3.8375 3.9919
angles (deg): 90.00 90.00 90.00
Last column: nearest neighbours and their distance in Å.
Positions (direct):
Mn: 0.0000 0.0000 0.0000  4 Ag 2.71, 8 Ru 2.77
Ag: 0.5000 0.5000 0.0000  4 Mn 2.71, 8 Ru 2.77
Ru: 0.0000 0.5000 0.5000  4 Ru 2.71, 4 Ag 2.77, 4 Mn 2.77
Ru: 0.5000 0.0000 0.5000  4 Ru 2.71, 4 Ag 2.77, 4 Mn 2.77

Properties
Space-group type ... P4/mmm, No. 123

=====

The relative energies come out as arrangement one 16.0; arrangement two 0.0; arrangement three 7.6, with values in kJ/mol of atoms.

=====

Arrangement one

Compound: MnAgRu2
Source: Alexandria via LeMat-Bulk
Functional: PBE
Structure: optimized geometry

a b c (Å): 5.2236 5.2236 5.2236
angles (deg): 147.03 128.97 62.11
Last column: nearest neighbours and their distance in Å.
Positions (direct):
Mn: 0.0000 0.0000 0.0000  6 Ru 2.60-2.70, 2 Ag 2.72
Ag: 0.2545 0.7545 0.5000  6 Ru 2.70-2.82, 2 Mn 2.72, 2 Ag 2.96
Ru: 0.5230 0.5230 0.0000  2 Ru 2.59, 4 Mn 2.70, 2 Ag 2.82
Ru: 0.7608 0.2608 0.5000  2 Ru 2.59, 2 Mn 2.60, 4 Ag 2.70

Properties
Space-group type ... Imm2, No. 44

=====

Arrangement two

Compound: MnAgRu2
Source: Alexandria via LeMat-Bulk
Functional: PBE
Structure: optimized geometry

a b c (Å): 4.8990 4.8990 4.6697
angles (deg): 104.45 104.45 33.02
Last column: nearest neighbours and their distance in Å.
Positions (direct):
Mn: 0.0000 0.0000 0.0000  4 Ru 2.54, 4 Ag 2.72, 2 Mn 2.78
Ag: 0.5000 0.5000 0.5000  4 Mn 2.72, 6 Ru 2.77-2.90, 2 Ag 2.78
Ru: 0.2722 0.2722 0.7758  2 Mn 2.54, 4 Ru 2.64-2.78, 1 Ag 2.77
Ru: 0.7278 0.7278 0.2242  2 Mn 2.54, 4 Ru 2.64-2.78, 1 Ag 2.77

Properties
Space-group type ... C2/m, No. 12

=====

The relative energies come out as arrangement one 10.2; arrangement two 0.0, with values in kJ/mol of atoms.

=====

Arrangement one

Compound: Mn2AgRu2
Source: Alexandria via LeMat-Bulk
Functional: PBE
Structure: optimized geometry

a b c (Å): 5.4437 5.4437 5.4437
angles (deg): 137.04 137.04 62.38
Last column: nearest neighbours and their distance in Å.
Positions (direct):
Mn: 0.1093 0.1093 0.0000  1 Mn 2.04
Mn: 0.8907 0.8907 0.0000  1 Mn 2.04
Ag: 0.5000 0.5000 0.0000  8 Mn 3.00, 8 Ru 3.07
Ru: 0.2500 0.7500 0.5000  4 Mn 2.39
Ru: 0.7500 0.2500 0.5000  4 Mn 2.39

Properties
Space-group type ... I4/mmm, No. 139

=====

Arrangement two

Compound: Mn2AgRu2
Source: Alexandria via LeMat-Bulk
Functional: PBE
Structure: optimized geometry

a b c (Å): 7.1917 7.1917 2.6640
angles (deg): 90.00 90.00 90.00
Last column: nearest neighbours and their distance in Å.
Positions (direct):
Mn: 0.1181 0.3819 0.0000  3 Mn 2.40-2.66, 6 Ru 2.47-2.56
Mn: 0.3819 0.8819 0.0000  3 Mn 2.40-2.66, 6 Ru 2.47-2.56
Mn: 0.6181 0.1181 0.0000  3 Mn 2.40-2.66, 6 Ru 2.47-2.56
Mn: 0.8819 0.6181 0.0000  3 Mn 2.40-2.66, 6 Ru 2.47-2.56
Ag: 0.0000 0.0000 0.0000  2 Ag 2.66, 4 Mn 2.87
Ag: 0.5000 0.5000 0.0000  2 Ag 2.66, 4 Mn 2.87
Ru: 0.1672 0.6672 0.5000  6 Mn 2.47-2.56, 2 Ru 2.66
Ru: 0.3328 0.1672 0.5000  6 Mn 2.47-2.56, 2 Ru 2.66
Ru: 0.6672 0.8328 0.5000  6 Mn 2.47-2.56, 2 Ru 2.66
Ru: 0.8328 0.3328 0.5000  6 Mn 2.47-2.56, 2 Ru 2.66

Properties
Space-group type ... P4/mbm, No. 127

=====

The relative energies come out as arrangement one 16.6; arrangement two 0.0, with values in kJ/mol of atoms.